# 1
SrAl2V2 | PBE-GGA | optimized geometry

```
SrAl2V2
1.0
-3.842 -4.107 -5.881
6.669 0.414 -4.645
0.903 -2.395 1.083
Al V Sr
4 4 2
direct
0.679 0.821 0.500
0.179 0.679 0.500
0.321 0.179 0.500
0.821 0.321 0.500
0.896 0.604 0.000
0.604 0.104 0.000
0.104 0.396 0.000
0.396 0.896 0.000
0.500 0.500 0.000
0.000 0.000 0.000
```

Properties
D(E_F) in states/eV/atom: 0.96
Calculated formation energy in eV/atom: 0.089

---

# 2
Ba3Tl2Hg4Pd2 | PBE-GGA | optimized geometry

```
Ba3Tl2Hg4Pd2
1.0
4.931 0.000 0.000
-2.466 4.271 0.000
0.000 0.000 16.829
Pd Hg Tl Ba
2 4 2 3
direct
0.333 0.667 0.128
0.667 0.333 0.872
0.667 0.333 0.126
0.667 0.333 0.628
0.333 0.667 0.372
0.333 0.667 0.874
0.667 0.333 0.441
0.333 0.667 0.559
0.000 0.000 0.250
0.000 0.000 0.000
0.000 0.000 0.750
```

Properties
D(E_F) in states/eV/atom: 0.45
Calculated formation energy in eV/atom: -0.402

---

# 3
NaGaCl2F | PBE-GGA | optimized geometry

```
NaGaCl2F
1.0
5.164 0.000 0.000
0.000 5.164 0.000
0.000 0.000 4.113
Cl Na F Ga
2 1 1 1
direct
0.000 0.500 0.000
0.500 0.000 0.000
0.500 0.500 0.500
0.000 0.000 0.500
0.000 0.000 0.000
```

Properties
Raw formation energy in eV/atom: -1.52
D(E_F) in states/eV/atom: 0.21

---

# 4
In3BiI | PBE-GGA | optimized geometry

```
In3BiI
1.0
-3.471 3.045 -0.930
-5.494 -7.260 -3.267
-2.541 -0.481 7.912
In I Bi
6 2 2
direct
0.250 0.877 0.989
0.250 0.994 0.659
0.750 0.123 0.011
0.250 0.395 0.521
0.750 0.006 0.341
0.750 0.605 0.479
0.750 0.671 0.862
0.250 0.329 0.138
0.250 0.791 0.343
0.750 0.209 0.657
```

Properties
Raw formation energy in eV/atom: -0.11
Energy above the lowest structure with this stoichiometry in meV/atom: 0
D(E_F) in states/eV/atom: 0.28

---

# 5
Be2SiTe | PBE-GGA | optimized geometry

```
Be2SiTe
1.0
-2.584 -5.097 0.048
2.372 -5.199 0.061
0.078 5.175 2.423
Te Be Si
1 2 1
direct
0.199 0.699 0.500
0.838 0.338 0.500
0.986 0.986 0.000
0.477 0.477 0.000
```

Properties
Raw formation energy in eV/atom: 0.48
Energy above the lowest structure with this stoichiometry in meV/atom: 228
D(E_F) in states/eV/atom: 0.34

---

# 6
CdAs2HBr | PBE-GGA | optimized geometry

```
CdAs2HBr
1.0
-3.816 0.984 -0.443
-0.722 -1.119 3.735
1.421 6.517 2.228
As H Cd Br
2 1 1 1
direct
0.500 0.000 0.000
0.000 0.500 0.000
0.000 0.000 0.000
0.500 0.500 0.500
0.000 0.000 0.500
```

Properties
Energy above the lowest structure with this stoichiometry in meV/atom: 0
D(E_F) in states/eV/atom: 0.74